No. 1
# Cr2OsSe, relaxed, DFT PBE
data_Cr2OsSe
_chemical_formula_sum 'Cr2 Os1 Se1'
_symmetry_space_group_name_H-M 'P m m m'
_symmetry_Int_Tables_number 47
_cell_length_a 3.020
_cell_length_b 4.286
_cell_length_c 4.306
_cell_angle_alpha 90.00
_cell_angle_beta 90.00
_cell_angle_gamma 90.00
loop_
_symmetry_equiv_pos_as_xyz
'x,y,z'
'-x,-y,-z'
'-x,-y,z'
'x,y,-z'
'x,-y,-z'
'-x,y,z'
'-x,y,-z'
'x,-y,z'
loop_
_atom_site_label
_atom_site_type_symbol
_atom_site_fract_x
_atom_site_fract_y
_atom_site_fract_z
Cr1 Cr 0.000 0.000 0.000
Cr2 Cr 0.500 0.500 0.000
Os1 Os 0.000 0.500 0.500
Se1 Se 0.500 0.000 0.500
# D(E_F) (states/eV/cell): 3.2
# Total magnetic moment (μB per formula unit): 0.82

No. 2
# Cr2OsSe, relaxed, DFT PBE
data_Cr2OsSe
_chemical_formula_sum 'Cr4 Os2 Se2'
_symmetry_space_group_name_H-M 'I m m 2'
_symmetry_Int_Tables_number 44
_cell_length_a 2.922
_cell_length_b 4.231
_cell_length_c 8.905
_cell_angle_alpha 90.00
_cell_angle_beta 90.00
_cell_angle_gamma 90.00
loop_
_symmetry_equiv_pos_as_xyz
'x,y,z'
'-x,-y,z'
'-x,y,z'
'x,-y,z'
'x+1/2,y+1/2,z+1/2'
'-x+1/2,-y+1/2,z+1/2'
'-x+1/2,y+1/2,z+1/2'
'x+1/2,-y+1/2,z+1/2'
loop_
_atom_site_label
_atom_site_type_symbol
_atom_site_fract_x
_atom_site_fract_y
_atom_site_fract_z
Cr1 Cr 0.000 0.000 0.000
Cr2 Cr 0.000 0.500 0.210
Os1 Os 0.000 0.500 0.757
Se1 Se 0.000 0.000 0.490
# D(E_F) (states/eV/cell): 7.2
# Total magnetic moment (μB per formula unit): 0.02

No. 3
# CrOsSe3, relaxed, DFT PBE
data_CrOsSe3
_chemical_formula_sum 'Cr1 Os1 Se3'
_symmetry_space_group_name_H-M 'P m -3 m'
_symmetry_Int_Tables_number 221
_symmetry_space_group_name_Hall '-P 4 2 3'
_cell_length_a 4.586
_cell_length_b 4.586
_cell_length_c 4.586
_cell_angle_alpha 90.00
_cell_angle_beta 90.00
_cell_angle_gamma 90.00
loop_
_atom_site_label
_atom_site_type_symbol
_atom_site_fract_x
_atom_site_fract_y
_atom_site_fract_z
Cr1 Cr 0.000 0.000 0.000
Os1 Os 0.500 0.500 0.500
Se1 Se 0.000 0.000 0.500
# E above lowest polymorph (eV per formula unit): 0.00
# D(E_F) (states/eV/cell): 5.6
# Total magnetic moment (μB per formula unit): 0.00

No. 4
# Cr2OsSe, relaxed, DFT PBE
data_Cr2OsSe
_chemical_formula_sum 'Cr2 Os1 Se1'
_symmetry_space_group_name_H-M 'P 4 m m'
_symmetry_Int_Tables_number 99
_cell_length_a 2.956
_cell_length_b 2.956
_cell_length_c 6.178
_cell_angle_alpha 90.00
_cell_angle_beta 90.00
_cell_angle_gamma 90.00
loop_
_symmetry_equiv_pos_as_xyz
'x,y,z'
'-y,x,z'
'-x,-y,z'
'y,-x,z'
'-x,y,z'
'y,x,z'
'x,-y,z'
'-y,-x,z'
loop_
_atom_site_label
_atom_site_type_symbol
_atom_site_fract_x
_atom_site_fract_y
_atom_site_fract_z
Cr1 Cr 0.000 0.000 0.000
Cr2 Cr 0.500 0.500 0.248
Os1 Os 0.000 0.000 0.476
Se1 Se 0.500 0.500 0.792
# D(E_F) (states/eV/cell): 2.9
# Total magnetic moment (μB per formula unit): 0.00

No. 5
# Cr2OsSe, relaxed, DFT PBE
data_Cr2OsSe
_chemical_formula_sum 'Cr4 Os2 Se2'
_symmetry_space_group_name_H-M 'I -4 m 2'
_symmetry_Int_Tables_number 119
_symmetry_space_group_name_Hall 'I -4 -2'
_cell_length_a 3.658
_cell_length_b 3.658
_cell_length_c 8.291
_cell_angle_alpha 90.00
_cell_angle_beta 90.00
_cell_angle_gamma 90.00
loop_
_atom_site_label
_atom_site_type_symbol
_atom_site_fract_x
_atom_site_fract_y
_atom_site_fract_z
Cr1 Cr 0.000 0.000 0.000
Cr2 Cr 0.000 0.500 0.250
Os1 Os 0.000 0.500 0.750
Se1 Se 0.000 0.000 0.500
# D(E_F) (states/eV/cell): 8.1
# Total magnetic moment (μB per formula unit): 3.34

No. 6
# CrOsSe, relaxed, DFT PBE
data_CrOsSe
_chemical_formula_sum 'Cr1 Os1 Se1'
_symmetry_space_group_name_H-M 'P 3 m 1'
_symmetry_Int_Tables_number 156
_cell_length_a 2.8483
_cell_length_b 2.8483
_cell_length_c 6.1748
_cell_angle_alpha 90.00
_cell_angle_beta 90.00
_cell_angle_gamma 120.00
loop_
_symmetry_equiv_pos_as_xyz
'x,y,z'
'-y,x-y,z'
'-x+y,-x,z'
'-y,-x,z'
'-x+y,y,z'
'x,x-y,z'
loop_
_atom_site_label
_atom_site_type_symbol
_atom_site_fract_x
_atom_site_fract_y
_atom_site_fract_z
Cr1 Cr 0.0000 0.0000 0.0000
Os1 Os 0.6667 0.3333 0.3120
Se1 Se 0.3333 0.6667 0.6994
# E above lowest polymorph (eV per formula unit): 0.97
# D(E_F) (states/eV/cell): 3.5
# Total magnetic moment (μB per formula unit): 0.00

No. 7
# Cr2OsSe, relaxed, DFT PBE
data_Cr2OsSe
_chemical_formula_sum 'Cr6 Os3 Se3'
_symmetry_space_group_name_H-M 'R -3 m'
_symmetry_Int_Tables_number 166
_symmetry_space_group_name_Hall '-R 3 2"'
_cell_length_a 2.7810
_cell_length_b 2.7810
_cell_length_c 24.1708
_cell_angle_alpha 90.00
_cell_angle_beta 90.00
_cell_angle_gamma 120.00
loop_
_atom_site_label
_atom_site_type_symbol
_atom_site_fract_x
_atom_site_fract_y
_atom_site_fract_z
Cr1 Cr 0.0000 0.0000 0.2472
Os1 Os 0.0000 0.0000 0.0000
Se1 Se 0.0000 0.0000 0.5000
# D(E_F) (states/eV/cell): 14.7
# Total magnetic moment (μB per formula unit): 0.00

No. 8
# CrOsSe, relaxed, DFT PBE
data_CrOsSe
_chemical_formula_sum 'Cr2 Os2 Se2'
_symmetry_space_group_name_H-M 'I 4 m m'
_symmetry_Int_Tables_number 107
_symmetry_space_group_name_Hall 'I 4 -2'
_cell_length_a 2.901
_cell_length_b 2.901
_cell_length_c 10.066
_cell_angle_alpha 90.00
_cell_angle_beta 90.00
_cell_angle_gamma 90.00
loop_
_atom_site_label
_atom_site_type_symbol
_atom_site_fract_x
_atom_site_fract_y
_atom_site_fract_z
Cr1 Cr 0.000 0.000 0.000
Os1 Os 0.000 0.000 0.654
Se1 Se 0.000 0.000 0.341
# E above lowest polymorph (eV per formula unit): 0.85
# D(E_F) (states/eV/cell): 2.8
# Total magnetic moment (μB per formula unit): 0.00

no.,VASP energy (Ry/atom)
1,-0.596
2,-0.598
3,-0.373
4,-0.605
5,-0.587
6,-0.571
7,-0.601
8,-0.573